La2SiC: optimized geometry, PBEsol.

Cell lengths 4.9286, 4.9286, 4.9286 Å; angles 60.00, 60.00, 60.00 degrees
With the nearest neighbours (Å) after each atom.
Fractional coordinates of all 4 atoms:
La1 0.7500 0.7500 0.7500  4 C 3.02, 4 Si 3.02
La2 0.2500 0.2500 0.2500  4 Si 3.02, 4 C 3.02
C1 0.0000 0.0000 0.0000  8 La 3.02
Si1 0.5000 0.5000 0.5000  8 La 3.02

Computed properties:
Uncorrected energy: -6.193 eV per atom
SG: No. 225

AlTc2Os: optimized geometry, PBEsol.

Cell lengths 2.8580, 2.8580, 6.7623 Å; angles 90.00, 90.00, 90.00 degrees
With the nearest neighbours (Å) after each atom.
Fractional coordinates of all 4 atoms:
Tc1 0.0000 0.0000 0.2442  4 Al 2.61, 4 Os 2.66, 4 Tc 2.86
Tc2 0.0000 0.0000 0.7558  4 Al 2.61, 4 Os 2.66, 4 Tc 2.86
Al1 0.5000 0.5000 0.0000  8 Tc 2.61, 4 Al 2.86
Os1 0.5000 0.5000 0.5000  8 Tc 2.66, 4 Os 2.86

Computed properties:
Formation energy from the elements: -0.121 eV per atom
SG: No. 123